Record 1
Entry from Alexandria: crystalline EuThSc at its relaxed geometry (GGA-PBE).

Results
The uncorrected energy is -7.883 eV/atom. The formation energy from the elements is 126 meV/atom.

Lattice parameters (Å, degrees): 3.5359 3.5359 15.2269 90.00 90.00 90.00
Last column: nearest neighbours and their distance in Å.
Space group I4mm (No. 107)
Unique sites:
1 Eu 0.0000 0.0000 0.0000 [2 per cell]  4 Eu 3.54, 4 Sc 3.67, 4 Th 3.70
2 Th 0.0000 0.0000 0.3205 [2 per cell]  4 Sc 3.33, 4 Th 3.54, 4 Eu 3.70
3 Sc 0.0000 0.0000 0.6760 [2 per cell]  4 Th 3.33, 4 Sc 3.54, 4 Eu 3.67

Record 2
Entry from Alexandria: crystalline Th2Sb7Rh12 at its relaxed geometry (GGA-PBE).

Results
The uncorrected energy is -6.860 eV/atom. The formation energy from raw total energies comes out at -12.1 eV per formula unit.

Lattice parameters (Å, degrees): 10.5586 10.5586 4.1108 90.00 90.00 120.00
Last column: nearest neighbours and their distance in Å.
Space group P-3 (No. 147)
Unique sites:
1 Th 0.3333 0.6667 0.2443 [2 per cell]  6 Rh 3.27-3.30, 6 Sb 3.34
2 Sb 0.0000 0.0000 0.5000 [1 per cell]  6 Rh 2.64
3 Sb 0.1073 0.3992 0.7451 [6 per cell]  7 Rh 2.58-2.73
4 Rh 0.0719 0.6236 0.7516 [6 per cell]  4 Sb 2.58-2.73
5 Rh 0.1230 0.8588 0.2424 [6 per cell]  4 Sb 2.59-2.64

Record 3
Entry from Alexandria: crystalline RbMn at its relaxed geometry (GGA-PBE).

Results
The uncorrected energy is -4.249 eV/atom. The formation energy from the elements is 820 meV/atom.

Lattice parameters (Å, degrees): 6.4723 26.2695 4.4325 90.00 90.00 90.00
Last column: nearest neighbours and their distance in Å.
Space group Cmcm (No. 63)
Unique sites:
1 Rb 0.0000 0.0696 0.2500 [4 per cell]  2 Mn 3.49
2 Rb 0.0000 0.3077 0.7500 [4 per cell]  2 Mn 3.79
3 Mn 0.0000 0.4250 0.2500 [4 per cell]  3 Mn 2.50-2.64
4 Mn 0.0000 0.4798 0.7500 [4 per cell]  5 Mn 2.46-2.64

Record 4
Entry from Alexandria: crystalline TcHg at its relaxed geometry (GGA-PBE).

Results
The uncorrected energy is -4.710 eV/atom. The formation energy from the elements is 624 meV/atom.

Lattice parameters (Å, degrees): 2.9315 4.9127 10.1840 90.00 90.00 90.00
Last column: nearest neighbours and their distance in Å.
Space group Imma (No. 74)
Unique sites:
1 Tc 0.0000 0.2500 0.1530 [4 per cell]  2 Tc 2.46
2 Hg 0.0000 0.2500 0.6091 [4 per cell]  6 Tc 2.90-3.05, 4 Hg 2.93-3.22

Record 5
Entry from Alexandria: crystalline KAs2PBr at its relaxed geometry (GGA-PBE).

Results
The uncorrected energy is -3.529 eV/atom. The formation energy from raw total energies comes out at -0.2 eV per formula unit.

Lattice parameters (Å, degrees): 4.6550 4.6550 8.3785 90.00 90.00 90.00
Last column: nearest neighbours and their distance in Å.
Space group P4/mmm (No. 123)
Unique sites:
1 K 0.0000 0.0000 0.0000 [1 per cell]  4 Br 3.29
2 As 0.0000 0.5000 0.5000 [2 per cell]  2 P 2.33
3 P 0.5000 0.5000 0.5000 [1 per cell]  4 As 2.33
4 Br 0.5000 0.5000 0.0000 [1 per cell]  4 K 3.29

Record 6
Entry from Alexandria: crystalline HoGa4Ag8 at its relaxed geometry (GGA-PBE).

Results
The uncorrected energy is -3.157 eV/atom. The formation energy from the elements is -119 meV/atom.

Lattice parameters (Å, degrees): 9.3906 9.3906 5.3447 90.00 90.00 90.00
Last column: nearest neighbours and their distance in Å.
Space group I4/mmm (No. 139)
Unique sites:
1 Ho 0.0000 0.0000 0.0000 [2 per cell]  12 Ag 3.25-3.35, 8 Ga 3.58
2 Ga 0.2500 0.2500 0.2500 [8 per cell]  2 Ga 2.67, 8 Ag 2.72-2.85
3 Ag 0.0000 0.2145 0.5000 [8 per cell]  4 Ga 2.72, 6 Ag 2.85-3.05
4 Ag 0.0000 0.3460 0.0000 [8 per cell]  4 Ga 2.85, 5 Ag 2.89-3.05

Record 7
Entry from Alexandria: crystalline Dy4AlSe2S at its relaxed geometry (GGA-PBE).

Results
The uncorrected energy is -5.587 eV/atom. The formation energy from raw total energies comes out at -11.4 eV per formula unit.

Lattice parameters (Å, degrees): 7.1290 3.9709 7.1882 90.00 108.50 90.00
Last column: nearest neighbours and their distance in Å.
Space group P2/m (No. 10)
Unique sites:
1 Dy 0.2423 0.0000 0.2354 [2 per cell]  2 S 2.82, 1 Al 2.87, 3 Se 2.95
2 Dy 0.2461 0.5000 0.7523 [2 per cell]  1 S 2.87, 3 Se 2.88-2.94, 2 Al 2.89
3 Al 0.5000 0.0000 0.0000 [1 per cell]  6 Dy 2.87-2.89
4 Se 0.0000 0.0000 0.5000 [1 per cell]  6 Dy 2.88-2.95
5 Se 0.5000 0.5000 0.5000 [1 per cell]  6 Dy 2.94-2.95
6 S 0.0000 0.5000 0.0000 [1 per cell]  6 Dy 2.82-2.87

Record 8
Entry from Alexandria: crystalline ErPu2FeN4 at its relaxed geometry (GGA-PBE).

Results
The uncorrected energy is -10.424 eV/atom. The formation energy from raw total energies comes out at -8.4 eV per formula unit.

Lattice parameters (Å, degrees): 3.3632 11.2099 11.3762 90.00 90.00 90.00
Last column: nearest neighbours and their distance in Å.
Space group Cmcm (No. 63)
Unique sites:
1 Er 0.0000 0.1064 0.2500 [4 per cell]  6 N 2.39-2.64
2 Pu 0.0000 0.3694 0.0567 [8 per cell]  6 N 2.27-2.40
3 Fe 0.0000 0.1580 0.7500 [4 per cell]  4 N 1.96-2.11
4 N 0.0000 0.0000 0.0000 [4 per cell]  4 Pu 2.32
5 N 0.0000 0.2704 0.6179 [8 per cell]  1 Fe 1.96
6 N 0.0000 0.4555 0.2500 [4 per cell]  2 Fe 2.11

> Which of these has the highest uncorrected energy?

HoGa4Ag8